1.
Compound: PmHo3Fe
Source: Alexandria via LeMat-Bulk
Functional: PBE
Structure: relaxed

Geometry as POSCAR:
```
PmHo3Fe
1.0
5.265 0.000 0.000
0.000 5.265 0.000
0.000 0.000 5.265
Pm Ho Fe
1 3 1
direct
0.000 0.000 0.000
0.000 0.500 0.500
0.500 0.000 0.500
0.500 0.500 0.000
0.500 0.500 0.500
```

The value obtained for the energy relative to the elements is 0.10 eV per atom.

***

2.
Compound: Ag3SeBr
Source: Alexandria via LeMat-Bulk
Functional: PBE
Structure: relaxed

Geometry as POSCAR:
```
Ag3SeBr
1.0
10.016 0.000 0.000
0.000 6.297 0.000
-3.723 0.000 8.124
Ag Se Br
12 4 4
direct
0.019 0.079 0.359
0.019 0.421 0.859
0.154 0.660 0.496
0.154 0.840 0.996
0.315 0.531 0.284
0.315 0.969 0.784
0.685 0.031 0.216
0.685 0.469 0.716
0.846 0.160 0.004
0.846 0.340 0.504
0.981 0.579 0.141
0.981 0.921 0.641
0.136 0.208 0.160
0.136 0.292 0.660
0.864 0.708 0.340
0.864 0.792 0.840
0.431 0.745 0.078
0.431 0.755 0.578
0.569 0.245 0.422
0.569 0.255 0.922
```

For the formation energy (no corrections), the calculation gives -0.16 eV per atom.

***

3.
Compound: Ta5Pb
Source: Alexandria via LeMat-Bulk
Functional: PBE
Structure: relaxed

Geometry as POSCAR:
```
Ta5Pb
1.0
5.273 -1.782 0.000
5.273 1.782 0.000
-1.907 0.000 6.152
Ta Pb
5 1
direct
0.000 0.000 0.000
0.329 0.329 0.686
0.332 0.332 0.156
0.668 0.668 0.844
0.671 0.671 0.314
0.000 0.000 0.500
```

The value obtained for the energy relative to the elements is 0.20 eV per atom.

***

4.
Compound: CeSm3Rh2
Source: Alexandria via LeMat-Bulk
Functional: PBE
Structure: relaxed

Geometry as POSCAR:
```
CeSm3Rh2
1.0
-3.442 6.857 3.611
3.442 -6.857 3.611
3.442 6.857 -3.611
Ce Sm Rh
2 6 4
direct
0.000 0.000 0.000
0.500 0.500 0.000
0.010 0.250 0.760
0.250 0.750 0.500
0.490 0.250 0.240
0.510 0.750 0.760
0.750 0.250 0.500
0.990 0.750 0.240
0.129 0.734 0.863
0.371 0.234 0.605
0.629 0.766 0.395
0.871 0.266 0.137
```

The value obtained for the energy relative to the elements is -0.48 eV per atom.

***

5.
Compound: RbMnIrBr2
Source: Alexandria via LeMat-Bulk
Functional: PBE
Structure: relaxed

Geometry as POSCAR:
```
RbMnIrBr2
1.0
6.213 0.000 0.000
0.000 6.213 0.000
0.000 0.000 6.316
Rb Mn Ir Br
1 1 1 2
direct
0.000 0.000 0.000
0.000 0.000 0.500
0.500 0.500 0.500
0.000 0.500 0.000
0.500 0.000 0.000
```

For the formation energy (no corrections), the calculation gives 1.53 eV per atom.

***

6.
Compound: NbCu
Source: Alexandria via LeMat-Bulk
Functional: PBE
Structure: relaxed

Geometry as POSCAR:
```
NbCu
1.0
-4.957 4.957 1.300
4.957 -4.957 1.300
4.957 4.957 -1.300
Nb Cu
4 4
direct
0.094 0.332 0.426
0.332 0.906 0.238
0.668 0.094 0.762
0.906 0.668 0.574
0.349 0.415 0.764
0.415 0.651 0.066
0.585 0.349 0.934
0.651 0.585 0.236
```

The value obtained for the energy relative to the elements is 0.23 eV per atom.

***

7.
Compound: LiNiHPd2
Source: Alexandria via LeMat-Bulk
Functional: PBE
Structure: relaxed

Geometry as POSCAR:
```
LiNiHPd2
1.0
4.034 0.000 0.000
0.000 4.034 0.000
0.000 0.000 3.493
Li Ni H Pd
1 1 1 2
direct
0.000 0.000 0.000
0.500 0.500 0.000
0.500 0.500 0.500
0.000 0.500 0.500
0.500 0.000 0.500
```

The offset from the most stable computed form is 0.000 eV per atom.

***

8.
Compound: MgVPbW2
Source: Alexandria via LeMat-Bulk
Functional: PBE
Structure: relaxed

Geometry as POSCAR:
```
MgVPbW2
1.0
4.683 0.000 0.000
0.000 4.683 0.000
0.000 0.000 4.841
Mg V Pb W
1 1 1 2
direct
0.000 0.000 0.000
0.500 0.500 0.500
0.000 0.000 0.500
0.000 0.500 0.000
0.500 0.000 0.000
```

The value obtained for the energy relative to the elements is 2.50 eV per atom.